## BeNiNO2 (PBE+U)

Data for an optimized crystal structure of BeNiNO2.

## Properties
total energy = -4.1784 eV per atom

a b c (Å): 3.760 3.760 3.549
angles (deg): 90.00 90.00 90.00
Space group P4/mmm (No. 123)
Unique sites:
1 Be 0.000 0.000 0.000 (multiplicity 1)
2 Ni 0.500 0.500 0.500 (multiplicity 1)
3 N 0.500 0.500 0.000 (multiplicity 1)
4 O 0.000 0.500 0.500 (multiplicity 2)